Computed, not measured: a geometry-optimized NaPbW2F structure at the GGA+U level of DFT.

abc: 4.910 4.910 4.692
angles: 90.00 90.00 90.00
Atoms (fractional coordinates):
Na 0.000 0.000 0.000
Pb 0.500 0.500 0.000
W 0.000 0.500 0.500
W 0.500 0.000 0.500
F 0.000 0.000 0.500

Summary:
Uncorrected energy   -0.1410 hartree per atom
Spin magnetization   7.53 μB per formula unit
Space-group type   P4/mmm (123)